Entry from Alexandria: a relaxed Sc2PdS crystal (PBE).

The uncorrected formation energy is -0.9217 eV/atom. The calculation puts the total energy at -102.7 eV per cell. For the magnetic moment, the calculation gives 0.00 μB per formula unit.

Structure (CIF):
```
data_Sc2PdS
_cell_length_a 6.820
_cell_length_b 6.820
_cell_length_c 7.177
_cell_angle_alpha 90.00
_cell_angle_beta 90.00
_cell_angle_gamma 90.00
_space_group_name_H-M_alt 'I -4 2 d'
_space_group_IT_number 122
_space_group_name_Hall 'I -4 2bw'
loop_
_atom_site_label
_atom_site_fract_x
_atom_site_fract_y
_atom_site_fract_z
Sc1 0.238 0.750 0.125
Pd1 0.000 0.000 0.500
S1 0.000 0.000 0.000
```